Arrangement P

A geometry-optimized Na6Al4FeSi8O26 structure. Source: Alexandria, functional PBE with a Hubbard U.

Unit cell a=8.601 b=8.601 c=10.614 alpha=68.92 beta=68.92 gamma=56.19
Site moments in Bohr magnetons follow the coordinates.
Positions (direct):
O 0.447 0.011 0.210  0.00
O 0.680 0.680 0.360  0.00
Si 0.540 0.156 0.133  0.00
Na 0.466 0.466 0.837  0.00
Si 0.156 0.540 0.133  0.00
Na 0.730 0.730 0.563  0.00
O 0.553 0.989 0.790  0.00
Si 0.839 0.453 0.347  0.00
O 0.571 0.206 0.254  0.00
O 0.356 0.739 0.324  0.00
Si 0.844 0.460 0.867  0.00
O 0.065 0.652 0.518  0.00
Na 0.534 0.534 0.163  0.00
O 0.082 0.718 0.010  0.02
Na 0.150 0.150 0.117  0.00
Si 0.453 0.839 0.347  0.00
O 0.282 0.918 0.990  0.02
O 0.739 0.356 0.324  0.00
O 0.989 0.553 0.790  0.00
Al 0.140 0.745 0.342  0.00
O 0.359 0.359 0.068  0.00
Fe 0.000 0.000 0.000  3.77
O 0.935 0.348 0.482  0.00
O 0.206 0.571 0.254  0.00
Si 0.161 0.547 0.653  0.00
O 0.970 0.970 0.276  0.01
O 0.348 0.935 0.482  0.00
O 0.641 0.641 0.932  0.00
O 0.652 0.065 0.518  0.00
Na 0.270 0.270 0.437  0.00
O 0.794 0.429 0.746  0.00
O 0.644 0.261 0.676  0.00
Si 0.460 0.844 0.867  0.00
Al 0.860 0.255 0.658  0.00
Si 0.547 0.161 0.653  0.00
O 0.320 0.320 0.640  0.00
O 0.011 0.447 0.210  0.00
O 0.429 0.794 0.746  0.00
Al 0.255 0.860 0.658  0.00
O 0.261 0.644 0.676  0.00
Na 0.850 0.850 0.883  0.00
O 0.030 0.030 0.724  0.01
O 0.718 0.082 0.010  0.02
Al 0.745 0.140 0.342  0.00
O 0.918 0.282 0.990  0.02

Summary:
Crystal system: monoclinic
Density: 2.6 g/cm3
Calculated volume: 596 Å³ per cell

Arrangement Q

A geometry-optimized Na6Al4FeSi8O26 structure. Source: Alexandria, functional PBE with a Hubbard U.

Unit cell a=8.587 b=8.587 c=10.714 alpha=69.22 beta=69.22 gamma=56.06
Site moments in Bohr magnetons follow the coordinates.
Positions (direct):
O 0.620 0.638 0.931  0.00
Si 0.450 0.849 0.865  0.00
O 0.044 0.020 0.714  0.00
Na 0.151 0.157 0.115  0.00
O 0.980 0.956 0.286  0.00
Si 0.151 0.550 0.135  0.00
O 0.065 0.661 0.502  0.00
O 0.343 0.734 0.322  0.00
O 0.329 0.309 0.637  0.00
Na 0.740 0.722 0.557  0.00
Al 0.159 0.549 0.652  0.00
O 0.413 0.803 0.744  0.00
O 0.796 0.419 0.747  0.00
Na 0.548 0.523 0.163  0.00
O 0.021 0.442 0.213  0.00
O 0.691 0.671 0.363  0.00
O 0.430 0.033 0.208  0.00
Na 0.477 0.452 0.837  0.00
O 0.266 0.657 0.678  0.00
Si 0.836 0.466 0.866  0.00
O 0.339 0.935 0.498  0.00
O 0.661 0.054 0.517  0.00
O 0.197 0.587 0.256  0.00
O 0.266 0.938 0.980  0.03
O 0.062 0.734 0.020  0.03
Fe 0.986 0.014 0.000  3.78
Si 0.551 0.152 0.651  0.00
O 0.656 0.244 0.677  0.00
Si 0.142 0.742 0.344  0.00
Al 0.451 0.841 0.348  0.00
O 0.756 0.344 0.323  0.00
Si 0.534 0.164 0.134  0.00
O 0.946 0.339 0.483  0.00
O 0.909 0.290 0.992  0.03
Al 0.750 0.134 0.346  0.00
O 0.558 0.979 0.787  0.00
Si 0.848 0.449 0.349  0.00
Na 0.278 0.260 0.443  0.00
Si 0.258 0.858 0.656  0.00
O 0.967 0.570 0.792  0.00
O 0.710 0.091 0.008  0.03
Al 0.866 0.250 0.654  0.00
O 0.581 0.204 0.253  0.00
Na 0.843 0.849 0.885  0.00
O 0.362 0.380 0.069  0.00

Summary:
Crystal system: monoclinic
Density: 2.6 g/cm3
Calculated volume: 600 Å³ per cell

Pick the least stable structure from those above. Pick: arrangement P